VASP calculation (PBE) on a geometry-optimized CeYCu4 structure.

Output
Energy relative to the elements   -59 kJ/mol of formula units
Space group   No. 216
N(E_F)   7.2 states/eV/f.u.

a b c (Å): 5.281 5.281 5.281
angles (deg): 60.00 60.00 60.00
Fractional positions:
Ce1 0.000 0.000 0.000
Y1 0.750 0.750 0.750
Cu1 0.376 0.376 0.376
Cu2 0.376 0.376 0.873
Cu3 0.376 0.873 0.376
Cu4 0.873 0.376 0.376